No. 1
{
  "formula": "ZnFe4",
  "functional": "PBEsol",
  "state": "optimized geometry",
  "cell": [[4.576, 0.000, 0.000], [-1.525, 4.314, 0.000], [-1.525, -2.157, 3.736]],
  "species": ["Fe", "Fe", "Fe", "Fe", "Zn"],
  "frac_coords": [[0.000, 0.000, 0.500], [0.000, 0.500, 0.000], [0.500, 0.000, 0.000], [0.500, 0.500, 0.500], [0.000, 0.000, 0.000]],
  "dos_at_fermi_per_ev_cell": 3.61,
  "e_above_lowest_polymorph_mev_per_atom": 965
}


No. 2
{
  "formula": "CoCuH2Au",
  "functional": "PBEsol",
  "state": "optimized geometry",
  "cell": [[-0.315, 2.303, 2.484], [-3.274, 0.434, -0.817], [-1.173, -3.326, 2.935]],
  "species": ["Co", "Au", "Cu", "H", "H"],
  "frac_coords": [[0.000, 0.000, 0.000], [0.500, 0.500, 0.500], [0.000, 0.000, 0.500], [0.000, 0.500, 0.000], [0.500, 0.000, 0.000]],
  "dos_at_fermi_per_ev_cell": 5.08,
  "dft_energy_ev_per_cell": -19.60
}


No. 3
{
  "formula": "CaGaIrPt2",
  "functional": "PBEsol",
  "state": "optimized geometry",
  "cell": [[4.848, 0.000, 0.000], [0.000, 4.848, 0.000], [0.000, 0.000, 5.105]],
  "species": ["Ca", "Ir", "Ga", "Pt", "Pt"],
  "frac_coords": [[0.000, 0.000, 0.500], [0.000, 0.000, 0.000], [0.500, 0.500, 0.500], [0.000, 0.500, 0.000], [0.500, 0.000, 0.000]],
  "dos_at_fermi_per_ev_cell": 4.84,
  "dft_energy_ev_per_cell": -26.08
}